[1]
The following is a GGA-PBE calculation of a relaxed structure of BeRh2W, from Alexandria via LeMat-Bulk.

- SG = Pmmm
- ΔE_f (kcal/mol of atoms) = -5.356
- volume (Å³ per atom) = 13.5

Unit cell a=3.4991 b=2.7844 c=6.1926 alpha=63.22 beta=90.00 gamma=90.00
With the nearest neighbours (Å) after each atom.
Atoms (fractional coordinates):
1 W 0.5000 0.2500 0.2500  8 Rh 2.67, 2 Be 2.76, 2 W 2.78
2 Be 0.5000 0.7500 0.7500  8 Rh 2.58-2.59, 2 W 2.76, 2 Be 2.78
3 Rh 0.0000 0.0154 0.9852  4 Be 2.58-2.59, 3 Rh 2.60-2.78, 4 W 2.67
4 Rh 0.0000 0.4846 0.5148  4 Be 2.58-2.59, 3 Rh 2.60-2.78, 4 W 2.67

[2]
The following is a GGA-PBE calculation of a relaxed structure of Be2RhW, from Alexandria via LeMat-Bulk.

- SG = Fm-3m
- energy above the most stable polymorph in this dataset (eV per formula unit) = 1.06
- ΔE_f (kcal/mol of atoms) = 0.306
- volume (Å³ per atom) = 11.6

Unit cell a=4.0315 b=4.0315 c=4.0315 alpha=60.00 beta=60.00 gamma=60.00
With the nearest neighbours (Å) after each atom.
Atoms (fractional coordinates):
1 Rh 0.0000 0.0000 0.0000  8 Be 2.47
2 Be 0.7500 0.7500 0.7500  4 W 2.47, 4 Rh 2.47
3 Be 0.2500 0.2500 0.2500  4 W 2.47, 4 Rh 2.47
4 W 0.5000 0.5000 0.5000  8 Be 2.47